*A*
Material: Si2C
Method: DFT, PBEsol
State: relaxed

Computed properties:
- Density: 3.569 Mg/m³
- M_tot: 0.00 μB per formula unit
- N(E_F): 0.188 states/eV per atom
- Space-group type: No. 160

a b c (Å): 4.6782 4.6782 4.6782
angles (deg): 36.06 36.06 36.06
Last column: nearest neighbours and their distance in Å.
Element x y z (fractional)
Si: 0.0000 0.0000 0.0000  3 C 2.01
Si: 0.1838 0.1838 0.1838  3 C 2.12
C: 0.7511 0.7511 0.7511  6 Si 2.01-2.12


*B*
Material: Si2C
Method: DFT, PBEsol
State: relaxed

Computed properties:
- Density: 2.934 Mg/m³
- M_tot: 0.00 μB per formula unit
- N(E_F): 0.200 states/eV per atom
- Space-group type: No. 65

a b c (Å): 6.7967 6.7967 2.8802
angles (deg): 90.00 90.00 144.55
Last column: nearest neighbours and their distance in Å.
Element x y z (fractional)
Si: 0.0000 0.0000 0.0000  4 C 2.00
Si: 0.2044 0.7956 0.0000  2 C 1.91
Si: 0.5000 0.5000 0.5000  4 C 2.50, 4 Si 2.52
Si: 0.7956 0.2044 0.0000  2 C 1.91
C: 0.1077 0.8923 0.5000  4 Si 1.91-2.00
C: 0.8923 0.1077 0.5000  4 Si 1.91-2.00


*C*
Material: Si2C
Method: DFT, PBEsol
State: relaxed

Computed properties:
- Density: 3.429 Mg/m³
- M_tot: 0.00 μB per formula unit
- N(E_F): 0.492 states/eV per atom
- Space-group type: No. 194

a b c (Å): 4.1809 4.1809 4.3625
angles (deg): 90.00 90.00 120.00
Last column: nearest neighbours and their distance in Å.
Element x y z (fractional)
Si: 0.0000 0.0000 0.0000  2 Si 2.18
Si: 0.0000 0.0000 0.5000  2 Si 2.18
Si: 0.3333 0.6667 0.2500  5 C 2.18-2.41
Si: 0.6667 0.3333 0.7500  5 C 2.18-2.41
C: 0.3333 0.6667 0.7500  5 Si 2.18-2.41
C: 0.6667 0.3333 0.2500  5 Si 2.18-2.41


*D*
Material: Si2C
Method: DFT, PBEsol
State: relaxed

Computed properties:
- Density: 3.030 Mg/m³
- M_tot: 0.00 μB per formula unit
- N(E_F): 0.234 states/eV per atom
- Space-group type: No. 164

a b c (Å): 2.9551 2.9551 14.8201
angles (deg): 90.00 90.00 120.00
Last column: nearest neighbours and their distance in Å.
Element x y z (fractional)
Si: 0.0000 0.0000 0.0811  3 C 1.83
Si: 0.0000 0.0000 0.9189  3 C 1.83
Si: 0.3333 0.6667 0.5787  3 C 2.07
Si: 0.3333 0.6667 0.7454  1 C 1.90
Si: 0.6667 0.3333 0.2546  1 C 1.90
Si: 0.6667 0.3333 0.4213  3 C 2.07
C: 0.0000 0.0000 0.5000  6 Si 2.07
C: 0.3333 0.6667 0.8739  4 Si 1.83-1.90
C: 0.6667 0.3333 0.1261  4 Si 1.83-1.90


Energy above the most stable structure, in eV/atom: *A* 0.187; *B* 0.331; *C* 1.062; *D* 0.000